<a>
MnH3Br PBE optimized geometry; N(E_F) = 1.75 states/eV/f.u.; spin magnetization = 4.878 μB per formula unit; calculated volume = 62 Å³/cell
1.0
3.952 0.000 0.000
0.000 3.952 0.000
0.000 0.000 3.952
Mn H Br
1 3 1
Direct
0.500 0.500 0.500 Mn
0.000 0.000 0.500 H
0.000 0.500 0.000 H
0.500 0.000 0.000 H
0.000 0.000 0.000 Br

=====

<b>
MnH3Br PBE optimized geometry; N(E_F) = 1.79 states/eV/f.u.; spin magnetization = 3.074 μB per formula unit; calculated volume = 51 Å³/cell
1.0
3.699 0.000 0.000
0.000 3.699 0.000
0.000 0.000 3.699
H Br Mn
3 1 1
Direct
0.000 0.000 0.500 H
0.000 0.500 0.000 H
0.500 0.000 0.000 H
0.500 0.500 0.500 Br
0.000 0.000 0.000 Mn

=====

Calculated relative energies: <a> 784; <b> 0, given in meV per atom

=====

<a>
MnHSe2Br PBE optimized geometry; N(E_F) = 5.27 states/eV/f.u.; spin magnetization = 0.004 μB per formula unit; calculated volume = 108 Å³/cell
1.0
4.517 0.000 0.000
0.000 4.517 0.000
0.000 0.000 5.315
Se Mn Br H
2 1 1 1
Direct
0.500 0.000 0.000 Se
0.000 0.500 0.000 Se
0.000 0.000 0.000 Mn
0.000 0.000 0.500 Br
0.500 0.500 0.500 H

=====

<b>
MnHSe2Br PBE optimized geometry; N(E_F) = 1.70 states/eV/f.u.; spin magnetization = 5.047 μB per formula unit; calculated volume = 98 Å³/cell
1.0
-3.319 0.174 -2.186
-2.192 -0.372 3.299
-0.093 6.150 0.631
Se Br Mn H
2 1 1 1
Direct
0.000 0.500 0.000 Se
0.500 0.000 0.000 Se
0.000 0.000 0.500 Br
0.500 0.500 0.500 Mn
0.000 0.000 0.000 H

=====

Calculated relative energies: <a> 354; <b> 0, given in meV per atom

=====

<a>
MnHSeBr2 PBE optimized geometry; N(E_F) = 7.25 states/eV/f.u.; spin magnetization = 0.166 μB per formula unit; calculated volume = 115 Å³/cell
1.0
5.071 0.000 0.000
0.000 5.071 0.000
0.000 0.000 4.455
Br Mn H Se
2 1 1 1
Direct
0.000 0.500 0.000 Br
0.500 0.000 0.000 Br
0.000 0.000 0.000 Mn
0.500 0.500 0.500 H
0.000 0.000 0.500 Se

=====

<b>
MnHSeBr2 PBE optimized geometry; N(E_F) = 3.39 states/eV/f.u.; spin magnetization = 4.129 μB per formula unit; calculated volume = 100 Å³/cell
1.0
5.321 0.000 0.000
0.000 5.321 0.000
0.000 0.000 3.538
H Se Mn Br
1 1 1 2
Direct
0.000 0.000 0.000 H
0.000 0.000 0.500 Se
0.500 0.500 0.500 Mn
0.000 0.500 0.000 Br
0.500 0.000 0.000 Br

=====

Calculated relative energies: <a> 206; <b> 0, given in meV per atom

=====

<a>
MoH2Br PBE optimized geometry; N(E_F) = 3.11 states/eV/f.u.; spin magnetization = 0.000 μB per formula unit; calculated volume = 94 Å³/cell
1.0
5.841 0.000 0.000
0.000 5.841 0.000
2.921 2.921 2.748
Br H Mo
2 4 2
Direct
0.250 0.750 0.500 Br
0.500 0.500 0.000 Br
0.375 0.264 0.750 H
0.875 0.986 0.750 H
0.014 0.625 0.250 H
0.736 0.125 0.250 H
0.750 0.250 0.500 Mo
0.000 0.000 0.000 Mo

=====

<b>
MoH2Br PBE optimized geometry; N(E_F) = 1.32 states/eV/f.u.; spin magnetization = 2.696 μB per formula unit; calculated volume = 47 Å³/cell
1.0
0.000 2.864 2.864
2.864 0.000 2.864
2.864 2.864 0.000
H Mo Br
2 1 1
Direct
0.250 0.250 0.250 H
0.750 0.750 0.750 H
0.500 0.500 0.500 Mo
0.000 0.000 0.000 Br

=====

Calculated relative energies: <a> 0; <b> 708, given in meV per atom

=====

<a>
Mo2HBr PBE optimized geometry; N(E_F) = 3.24 states/eV/f.u.; spin magnetization = 0.000 μB per formula unit; calculated volume = 122 Å³/cell
1.0
4.866 0.000 0.000
0.000 4.866 0.000
2.433 2.433 5.134
Mo H Br
4 2 2
Direct
0.375 0.510 0.750 Mo
0.875 0.740 0.750 Mo
0.490 0.125 0.250 Mo
0.260 0.625 0.250 Mo
0.250 0.750 0.500 H
0.500 0.500 0.000 H
0.750 0.250 0.500 Br
0.000 0.000 0.000 Br

=====

<b>
Mo2HBr PBE optimized geometry; N(E_F) = 6.25 states/eV/f.u.; spin magnetization = 0.000 μB per formula unit; calculated volume = 54 Å³/cell
1.0
0.000 2.999 2.999
2.999 0.000 2.999
2.999 2.999 0.000
Mo Br H
2 1 1
Direct
0.250 0.250 0.250 Mo
0.750 0.750 0.750 Mo
0.500 0.500 0.500 Br
0.000 0.000 0.000 H

=====

Calculated relative energies: <a> 0; <b> 617, given in meV per atom

=====

<a>
MoHSeBr2 PBE optimized geometry; N(E_F) = 4.29 states/eV/f.u.; spin magnetization = 2.668 μB per formula unit; calculated volume = 135 Å³/cell
1.0
-0.725 -5.154 0.953
4.188 0.008 3.234
-2.875 1.092 3.720
Se Br H Mo
1 2 1 1
Direct
0.000 0.000 0.500 Se
0.000 0.500 0.000 Br
0.500 0.000 0.000 Br
0.500 0.500 0.500 H
0.000 0.000 0.000 Mo

=====

<b>
MoHSeBr2 PBE optimized geometry; N(E_F) = 4.13 states/eV/f.u.; spin magnetization = 3.378 μB per formula unit; calculated volume = 99 Å³/cell
1.0
-2.584 3.322 -3.164
-3.094 -3.943 -1.613
-2.291 0.722 2.629
Br Se H Mo
2 1 1 1
Direct
0.500 0.000 0.000 Br
0.000 0.500 0.000 Br
0.000 0.000 0.500 Se
0.000 0.000 0.000 H
0.500 0.500 0.500 Mo

=====

Calculated relative energies: <a> 0; <b> 475, given in meV per atom